# 1
The following is a DFT calculation (PBE-GGA) of a relaxed NdScS2O crystal.

Formation energy from raw total energies in eV/atom: -2.40
Density of states at the Fermi level in states/eV/atom: 0.11

a b c (Å): 3.865 3.865 13.398
angles (deg): 90.00 90.00 90.00
Atoms (fractional coordinates):
O 0.500 0.500 0.500
O 0.000 0.000 0.500
S 0.000 0.500 0.089
Sc 0.500 0.000 0.113
S 0.500 0.000 0.911
Nd 0.000 0.500 0.405
Nd 0.500 0.000 0.595
Sc 0.000 0.500 0.887
S 0.500 0.000 0.288
S 0.000 0.500 0.712


# 2
The following is a DFT calculation (PBE-GGA) of a relaxed MnCoB3 crystal.

Density of states at the Fermi level in states/eV/atom: 1.37
Energy relative to the elements in eV per atom: 1.0439

a b c (Å): 3.630 3.630 3.630
angles (deg): 90.00 90.00 90.00
Atoms (fractional coordinates):
B 0.000 0.000 0.500
Co 0.000 0.000 0.000
B 0.500 0.000 0.000
B 0.000 0.500 0.000
Mn 0.500 0.500 0.500


# 3
The following is a DFT calculation (PBE-GGA) of a relaxed CsCrGa3 crystal.

Energy above the most stable polymorph in this dataset in meV/atom: 1456
Density of states at the Fermi level in states/eV/atom: 1.31
Energy relative to the elements in eV per atom: 1.6381

a b c (Å): 5.952 5.952 5.952
angles (deg): 90.00 90.00 90.00
Atoms (fractional coordinates):
Ga 0.500 0.000 0.000
Cs 0.000 0.000 0.000
Ga 0.000 0.500 0.000
Cr 0.500 0.500 0.500
Ga 0.000 0.000 0.500